# Mg2InH

A geometry-optimized Mg2InH structure (PBE, the Alexandria database).

Results
Size of the total moment (μB/cell): 0.00
Polymorph energy (0 for the lowest one) (eV per atom): 0.054
Uncorrected energy (eV/atom): -2.35

Structure (POSCAR):
```
Mg2InH
1.0
-0.5372 1.4504 -5.3104
-5.0981 0.2701 -2.1299
-2.1065 5.2586 0.6627
In Mg H
2 4 2
direct
0.6471 0.3753 0.3572
0.3117 0.0202 0.4160
0.6563 0.8681 0.8695
0.3221 0.5307 0.8740
0.9793 0.1990 0.8700
0.9832 0.7107 0.3472
0.9808 0.5895 0.7132
0.3229 0.1536 0.9848
```

---

# Mg2ZrTa

A geometry-optimized Mg2ZrTa structure (PBE, the Alexandria database).

Results
Formation enthalpy at 0 K (eV per atom): 0.23
Size of the total moment (μB/cell): 0.00
Polymorph energy (0 for the lowest one) (eV per atom): 0.134
Uncorrected energy (eV/atom): -5.67

Structure (POSCAR):
```
Mg2ZrTa
1.0
-0.2742 2.7725 -0.9889
-0.3211 -1.0154 -2.7578
-9.2211 -0.4675 1.2457
Ta Mg Zr
1 2 1
direct
0.5000 0.5000 0.2500
0.0000 0.0000 0.4866
0.0000 0.0000 0.0134
0.5000 0.5000 0.7500
```

---

# LiScAg2F6

A geometry-optimized LiScAg2F6 structure (PBE, the Alexandria database).

Results
Formation energy from raw total energies (eV per atom): -2.561
Size of the total moment (μB/cell): 0.00
Uncorrected energy (eV/atom): -5.08

Structure (POSCAR):
```
LiScAg2F6
1.0
5.6944 0.0000 -0.0113
0.0000 5.7187 0.0000
0.0353 0.0000 8.0861
F Ag Li Sc
12 4 2 2
direct
0.3066 0.7024 0.4666
0.0632 0.4807 0.7520
0.7978 0.8049 0.5309
0.4368 0.9807 0.7480
0.5632 0.0193 0.2520
0.2022 0.1951 0.4691
0.9368 0.5193 0.2480
0.2978 0.6951 0.0309
0.1934 0.2024 0.0334
0.7022 0.3049 0.9691
0.8066 0.7976 0.9666
0.6934 0.2976 0.5334
0.5034 0.5286 0.7503
0.0034 0.9714 0.2503
0.9966 0.0286 0.7497
0.4966 0.4714 0.2497
0.0000 0.5000 0.5000
0.5000 0.0000 0.0000
0.0000 0.5000 0.0000
0.5000 0.0000 0.5000
```

---

Repeat the second record exactly.
# Mg2ZrTa

A geometry-optimized Mg2ZrTa structure (PBE, the Alexandria database).

Results
Formation enthalpy at 0 K (eV per atom): 0.23
Size of the total moment (μB/cell): 0.00
Polymorph energy (0 for the lowest one) (eV per atom): 0.134
Uncorrected energy (eV/atom): -5.67

Structure (POSCAR):
```
Mg2ZrTa
1.0
-0.2742 2.7725 -0.9889
-0.3211 -1.0154 -2.7578
-9.2211 -0.4675 1.2457
Ta Mg Zr
1 2 1
direct
0.5000 0.5000 0.2500
0.0000 0.0000 0.4866
0.0000 0.0000 0.0134
0.5000 0.5000 0.7500
```

---

Number 3 is which compound?
LiScAg2F6